A geometry-optimized K4NiTe3O12 structure, computed with PBE+U.

a = 8.051 Å, b = 8.051 Å, c = 8.051 Å
α = 90.00°, β = 90.00°, γ = 90.00°
Space group Im-3m (No. 229)
One atom of each set of equivalent atoms:
K  0.250  0.250  0.250 (multiplicity 8)
Ni  0.000  0.000  0.000 (multiplicity 2)
Te  0.000  0.000  0.500 (multiplicity 6)
O  0.000  0.000  0.267 (multiplicity 12)
O  0.000  0.250  0.500 (multiplicity 12)

Computed properties:
Raw total energy (eV per atom): -4.980
V (Å³/f.u.): 260.95
Density of states at the Fermi level (states/eV per cell): 7.919
Magnetic moment (Bohr magnetons per cell): 4.0